1.
# SCAN CuP2PtO, single point on PBEsol structure
# - formation energy (no corrections) (eV/atom) = 0.71
# - final energy (eV per atom) = -21.78
# - volume (A^3/atom) = 16.7
data_CuP2PtO
_cell_length_a 4.778
_cell_length_b 4.778
_cell_length_c 3.656
_cell_angle_alpha 90.00
_cell_angle_beta 90.00
_cell_angle_gamma 90.00
_space_group_name_H-M_alt 'P 4/m m m'
_space_group_IT_number 123
_space_group_name_Hall '-P 4 2'
loop_
_atom_site_label
_atom_site_fract_x
_atom_site_fract_y
_atom_site_fract_z
Cu1 0.000 0.000 0.000
P1 0.000 0.500 0.500
Pt1 0.500 0.500 0.500
O1 0.500 0.500 0.000



2.
# SCAN RbCuPO2, single point on PBEsol structure
# - formation energy (no corrections) (eV/atom) = 1.53
# - final energy (eV per atom) = -10.23
# - volume (A^3/atom) = 21.6
data_RbCuPO2
_cell_length_a 4.044
_cell_length_b 4.044
_cell_length_c 6.613
_cell_angle_alpha 90.00
_cell_angle_beta 90.00
_cell_angle_gamma 90.00
_space_group_name_H-M_alt 'P 4/m m m'
_space_group_IT_number 123
_space_group_name_Hall '-P 4 2'
loop_
_atom_site_label
_atom_site_fract_x
_atom_site_fract_y
_atom_site_fract_z
Rb1 0.000 0.000 0.000
Cu1 0.500 0.500 0.500
P1 0.000 0.000 0.500
O1 0.000 0.500 0.000



3.
# SCAN Rb2V2CuP2O12, single point on PBEsol structure
# - formation energy (no corrections) (eV/atom) = -2.36
# - final energy (eV per atom) = -12.22
# - volume (A^3/atom) = 14.1
data_Rb2V2CuP2O12
_cell_length_a 4.961
_cell_length_b 11.365
_cell_length_c 9.569
_cell_angle_alpha 90.00
_cell_angle_beta 94.78
_cell_angle_gamma 90.00
_space_group_name_H-M_alt 'P 1 21/c 1'
_space_group_IT_number 14
loop_
_space_group_symop_operation_xyz
'x,y,z'
'-x,-y,-z'
'-x,y+1/2,-z+1/2'
'x,-y+1/2,z+1/2'
loop_
_atom_site_label
_atom_site_fract_x
_atom_site_fract_y
_atom_site_fract_z
Rb1 0.078 0.131 0.390
V1 0.445 0.610 0.752
Cu1 0.000 0.000 0.000
P1 0.485 0.640 0.422
O1 0.127 0.620 0.781
O2 0.182 0.614 0.395
O3 0.339 0.032 0.115
O4 0.405 0.017 0.637
O5 0.430 0.242 0.171
O6 0.433 0.173 0.923



4.
# SCAN CuSbP2O8, single point on PBEsol structure
# - formation energy (no corrections) (eV/atom) = -1.85
# - final energy (eV per atom) = -12.11
# - volume (A^3/atom) = 12.4
data_CuSbP2O8
_cell_length_a 4.900
_cell_length_b 6.119
_cell_length_c 9.917
_cell_angle_alpha 90.00
_cell_angle_beta 94.49
_cell_angle_gamma 90.00
_space_group_name_H-M_alt 'P 1 21/m 1'
_space_group_IT_number 11
loop_
_space_group_symop_operation_xyz
'x,y,z'
'-x,-y,-z'
'-x,y+1/2,-z'
'x,-y+1/2,z'
loop_
_atom_site_label
_atom_site_fract_x
_atom_site_fract_y
_atom_site_fract_z
Cu1 0.130 0.250 0.208
Sb1 0.432 0.250 0.711
P1 0.104 0.750 0.096
P2 0.373 0.750 0.592
O1 0.128 0.750 0.945
O2 0.199 0.250 0.875
O3 0.237 0.547 0.657
O4 0.271 0.557 0.171
O5 0.291 0.750 0.437
O6 0.317 0.250 0.385



5.
# SCAN CuSbPO2, single point on PBEsol structure
# - formation energy (no corrections) (eV/atom) = 0.05
# - final energy (eV per atom) = -15.01
# - volume (A^3/atom) = 13.1
data_CuSbPO2
_cell_length_a 3.816
_cell_length_b 3.816
_cell_length_c 4.502
_cell_angle_alpha 90.00
_cell_angle_beta 90.00
_cell_angle_gamma 90.00
_space_group_name_H-M_alt 'P 4/m m m'
_space_group_IT_number 123
_space_group_name_Hall '-P 4 2'
loop_
_atom_site_label
_atom_site_fract_x
_atom_site_fract_y
_atom_site_fract_z
Cu1 0.000 0.000 0.000
Sb1 0.500 0.500 0.500
P1 0.000 0.000 0.500
O1 0.000 0.500 0.000



6.
# SCAN ScCuPO2, single point on PBEsol structure
# - formation energy (no corrections) (eV/atom) = -0.75
# - final energy (eV per atom) = -11.20
# - volume (A^3/atom) = 12.6
data_ScCuPO2
_cell_length_a 3.774
_cell_length_b 3.774
_cell_length_c 4.419
_cell_angle_alpha 90.00
_cell_angle_beta 90.00
_cell_angle_gamma 90.00
_space_group_name_H-M_alt 'P 4/m m m'
_space_group_IT_number 123
_space_group_name_Hall '-P 4 2'
loop_
_atom_site_label
_atom_site_fract_x
_atom_site_fract_y
_atom_site_fract_z
Sc1 0.000 0.000 0.000
Cu1 0.500 0.500 0.500
P1 0.500 0.500 0.000
O1 0.000 0.500 0.500



7.
# SCAN Sm6Cu8P8O3, single point on PBEsol structure
# - formation energy (no corrections) (eV/atom) = -1.37
# - final energy (eV per atom) = -20.98
# - volume (A^3/atom) = 15.5
data_Sm6Cu8P8O3
_cell_length_a 5.475
_cell_length_b 25.875
_cell_length_c 5.476
_cell_angle_alpha 90.00
_cell_angle_beta 90.00
_cell_angle_gamma 90.00
_space_group_name_H-M_alt 'C 2 2 2'
_space_group_IT_number 21
loop_
_space_group_symop_operation_xyz
'x,y,z'
'-x,-y,z'
'x,-y,-z'
'-x,y,-z'
'x+1/2,y+1/2,z'
'-x+1/2,-y+1/2,z'
'x+1/2,-y+1/2,-z'
'-x+1/2,y+1/2,-z'
loop_
_atom_site_label
_atom_site_fract_x
_atom_site_fract_y
_atom_site_fract_z
Sm1 0.235 0.050 0.235
Sm2 0.250 0.250 0.750
Cu1 0.000 0.152 0.000
Cu2 0.000 0.153 0.500
Cu3 0.000 0.344 0.500
Cu4 0.000 0.347 0.000
P1 0.243 0.397 0.743
P2 0.249 0.206 0.248
O1 0.000 0.000 0.000
O2 0.000 0.000 0.500
O3 0.000 0.500 0.000



8.
# SCAN CuSnP2O8, single point on PBEsol structure
# - formation energy (no corrections) (eV/atom) = -2.01
# - final energy (eV per atom) = -12.16
# - volume (A^3/atom) = 12.3
data_CuSnP2O8
_cell_length_a 4.928
_cell_length_b 5.999
_cell_length_c 9.969
_cell_angle_alpha 90.00
_cell_angle_beta 93.56
_cell_angle_gamma 90.00
_space_group_name_H-M_alt 'P 1 21/m 1'
_space_group_IT_number 11
loop_
_space_group_symop_operation_xyz
'x,y,z'
'-x,-y,-z'
'-x,y+1/2,-z'
'x,-y+1/2,z'
loop_
_atom_site_label
_atom_site_fract_x
_atom_site_fract_y
_atom_site_fract_z
Cu1 0.134 0.250 0.203
Sn1 0.442 0.250 0.713
P1 0.092 0.750 0.097
P2 0.386 0.750 0.596
O1 0.122 0.750 0.947
O2 0.209 0.250 0.874
O3 0.250 0.542 0.659
O4 0.258 0.555 0.171
O5 0.306 0.250 0.377
O6 0.317 0.750 0.443



9.
# SCAN SrTiCu4P4O17, single point on PBEsol structure
# - formation energy (no corrections) (eV/atom) = -2.25
# - final energy (eV per atom) = -11.39
# - volume (A^3/atom) = 11.7
data_SrTiCu4P4O17
_cell_length_a 9.500
_cell_length_b 9.500
_cell_length_c 7.002
_cell_angle_alpha 90.00
_cell_angle_beta 90.00
_cell_angle_gamma 90.00
_space_group_name_H-M_alt 'P 4 21 2'
_space_group_IT_number 90
loop_
_space_group_symop_operation_xyz
'x,y,z'
'-y+1/2,x+1/2,z'
'-x,-y,z'
'y+1/2,-x+1/2,z'
'x+1/2,-y+1/2,-z'
'-y,-x,-z'
'-x+1/2,y+1/2,-z'
'y,x,-z'
loop_
_atom_site_label
_atom_site_fract_x
_atom_site_fract_y
_atom_site_fract_z
Sr1 0.000 0.000 0.000
Ti1 0.000 0.500 0.012
Cu1 0.019 0.269 0.603
P1 0.184 0.727 0.256
O1 0.000 0.500 0.768
O2 0.095 0.673 0.088
O3 0.113 0.846 0.737
O4 0.132 0.657 0.447
O5 0.160 0.186 0.769



10.
# SCAN SrZnCuP2O8, single point on PBEsol structure
# - formation energy (no corrections) (eV/atom) = -2.38
# - final energy (eV per atom) = -11.74
# - volume (A^3/atom) = 11.6
data_SrZnCuP2O8
_cell_length_a 5.561
_cell_length_b 6.658
_cell_length_c 9.099
_cell_angle_alpha 109.09
_cell_angle_beta 102.19
_cell_angle_gamma 99.62
_space_group_name_H-M_alt 'P -1'
_space_group_IT_number 2
loop_
_space_group_symop_operation_xyz
'x,y,z'
'-x,-y,-z'
loop_
_atom_site_label
_atom_site_fract_x
_atom_site_fract_y
_atom_site_fract_z
Sr1 0.242 0.201 0.439
Zn1 0.499 0.594 0.859
Cu1 0.137 0.851 0.044
P1 0.106 0.577 0.261
P2 0.341 0.025 0.797
O1 0.119 0.928 0.853
O2 0.126 0.406 0.099
O3 0.152 0.804 0.248
O4 0.156 0.479 0.706
O5 0.242 0.987 0.618
O6 0.321 0.565 0.393
O7 0.443 0.099 0.176
O8 0.460 0.273 0.904



11.
# SCAN Cu2TcPO, single point on PBEsol structure
# - formation energy (no corrections) (eV/atom) = 0.64
# - final energy (eV per atom) = -15.78
# - volume (A^3/atom) = 15.7
data_Cu2TcPO
_cell_length_a 4.702
_cell_length_b 4.702
_cell_length_c 3.560
_cell_angle_alpha 90.00
_cell_angle_beta 90.00
_cell_angle_gamma 90.00
_space_group_name_H-M_alt 'P 4/m m m'
_space_group_IT_number 123
_space_group_name_Hall '-P 4 2'
loop_
_atom_site_label
_atom_site_fract_x
_atom_site_fract_y
_atom_site_fract_z
Cu1 0.000 0.500 0.000
Tc1 0.000 0.000 0.000
P1 0.500 0.500 0.500
O1 0.000 0.000 0.500



12.
# SCAN CuTeP2O8, single point on PBEsol structure
# - formation energy (no corrections) (eV/atom) = -1.82
# - final energy (eV per atom) = -12.08
# - volume (A^3/atom) = 12.4
data_CuTeP2O8
_cell_length_a 4.898
_cell_length_b 6.386
_cell_length_c 9.773
_cell_angle_alpha 90.00
_cell_angle_beta 102.87
_cell_angle_gamma 90.00
_space_group_name_H-M_alt 'P 1 21/m 1'
_space_group_IT_number 11
loop_
_space_group_symop_operation_xyz
'x,y,z'
'-x,-y,-z'
'-x,y+1/2,-z'
'x,-y+1/2,z'
loop_
_atom_site_label
_atom_site_fract_x
_atom_site_fract_y
_atom_site_fract_z
Cu1 0.210 0.250 0.201
Te1 0.289 0.250 0.670
P1 0.129 0.750 0.118
P2 0.265 0.750 0.595
O1 0.077 0.750 0.960
O2 0.128 0.750 0.436
O3 0.165 0.563 0.671
O4 0.174 0.250 0.847
O5 0.303 0.559 0.188
O6 0.417 0.250 0.394



Q: The lowest final energy belongs to which entry?
A: CuP2PtO



Q: Among the records above, which one has the highest volume?
A: RbCuPO2



Q: The highest final energy belongs to which entry?
A: RbCuPO2